VASP calculation (PBE-GGA) on Al2FeHg after structural relaxation.

Properties
* space-group type: R-3m
* energy of formation: 1.8 kcal/mol of atoms

Cell: 2.952 2.952 26.342 Å, 90.00 90.00 120.00°
Sites, in units of the cell vectors:
Al1 0.000 0.000 0.234
Al2 0.000 0.000 0.766
Al3 0.333 0.667 0.433
Al4 0.333 0.667 0.901
Al5 0.667 0.333 0.099
Al6 0.667 0.333 0.567
Fe1 0.000 0.000 0.500
Fe2 0.333 0.667 0.167
Fe3 0.667 0.333 0.833
Hg1 0.000 0.000 0.000
Hg2 0.333 0.667 0.667
Hg3 0.667 0.333 0.333

---

VASP calculation (PBE-GGA) on Dy3Y6ErTh2 after structural relaxation.

Properties
* space-group type: C2/m
* energy of formation: 0.6 kcal/mol of atoms

Cell: 6.172 6.172 11.792 Å, 95.02 95.02 119.96°
Sites, in units of the cell vectors:
Dy1 0.000 0.000 0.000
Dy2 0.334 0.666 0.000
Dy3 0.666 0.334 0.000
Y1 0.081 0.417 0.252
Y2 0.246 0.246 0.748
Y3 0.417 0.081 0.252
Y4 0.583 0.919 0.748
Y5 0.754 0.754 0.252
Y6 0.919 0.583 0.748
Er1 0.500 0.500 0.500
Th1 0.167 0.833 0.500
Th2 0.833 0.167 0.500

---

VASP calculation (PBE-GGA) on TaMo2Ir after structural relaxation.

Properties
* space-group type: Pmm2
* energy above the lowest structure with this stoichiometry: 11.1 kJ per mole of atoms
* energy of formation: -0.9 kcal/mol of atoms

Cell: 2.778 3.959 5.880 Å, 90.00 90.00 90.00°
Sites, in units of the cell vectors:
Ta1 0.000 0.000 0.000
Mo1 0.000 0.000 0.487
Mo2 0.500 0.500 0.730
Ir1 0.500 0.500 0.241

---

VASP calculation (PBE-GGA) on Rb2HfCl2F4 after structural relaxation.

Properties
* space-group type: C2/m
* formation energy (no corrections): -2976.7 meV/atom

Cell: 7.063 7.063 5.353 Å, 93.61 93.61 53.12°
Sites, in units of the cell vectors:
Rb1 0.140 0.140 0.139
Rb2 0.860 0.860 0.861
Hf1 0.500 0.500 0.500
Cl1 0.317 0.317 0.660
Cl2 0.683 0.683 0.340
F1 0.226 0.683 0.259
F2 0.317 0.774 0.741
F3 0.683 0.226 0.259
F4 0.774 0.317 0.741

---

VASP calculation (PBE-GGA) on Pr2GaSb after structural relaxation.

Properties
* space-group type: P2_1/m
* formation energy (no corrections): -850.1 meV/atom
* energy above the lowest structure with this stoichiometry: 0.0 kJ per mole of atoms

Cell: 6.233 4.289 9.041 Å, 90.00 108.04 90.00°
Sites, in units of the cell vectors:
Pr1 0.202 0.250 0.428
Pr2 0.290 0.750 0.066
Pr3 0.710 0.250 0.934
Pr4 0.798 0.750 0.572
Ga1 0.111 0.250 0.796
Ga2 0.889 0.750 0.204
Sb1 0.370 0.750 0.709
Sb2 0.630 0.250 0.291

---

VASP calculation (PBE-GGA) on LaPr8Tm4 after structural relaxation.

Properties
* space-group type: R-3m
* energy of formation: 3.9 kcal/mol of atoms

Cell: 10.401 10.401 10.401 Å, 41.75 41.75 41.75°
Sites, in units of the cell vectors:
La1 0.000 0.000 0.000
Pr1 0.250 0.250 0.704
Pr2 0.250 0.704 0.250
Pr3 0.282 0.282 0.282
Pr4 0.296 0.750 0.750
Pr5 0.704 0.250 0.250
Pr6 0.718 0.718 0.718
Pr7 0.750 0.296 0.750
Pr8 0.750 0.750 0.296
Tm1 0.000 0.000 0.500
Tm2 0.000 0.500 0.000
Tm3 0.500 0.000 0.000
Tm4 0.500 0.500 0.500